The following is a meta-GGA SCAN calculation of a PBEsol-optimized structure of AlZnSe, from Alexandria.

Cell lengths 3.5952, 3.5952, 5.0360 Å; angles 90.00, 90.00, 120.00 degrees
Sites, in units of the cell vectors:
Al (0.0000, 0.0000, 0.0000)
Zn (0.3333, 0.6667, 0.3390)
Se (0.6667, 0.3333, 0.6997)

## Properties
- Formation energy (no corrections): -0.270 eV/atom
- V: 56.37 Å³/cell
- Symmetry: P3m1 (156)
- Uncorrected energy: -14.051 eV/atom
- Density of states at the Fermi level: 0.51 states/eV per cell